CaNb2PRu: optimized geometry, GGA-PBE.

Values from the calculation:
E_form: 0.817 eV per atom
D(E_F): 5.0 states/eV/f.u.
crystal system: tetragonal

Cell and atoms, written as CIF:
```
data_CaNb2PRu
_chemical_formula_sum 'Ca1 Nb2 P1 Ru1'
_space_group_name_H-M_alt 'P 4/m m m'
_space_group_IT_number 123
_space_group_name_Hall '-P 4 2'
_cell_length_a 4.7320
_cell_length_b 4.7320
_cell_length_c 5.4394
_cell_angle_alpha 90.00
_cell_angle_beta 90.00
_cell_angle_gamma 90.00
loop_
_atom_site_label
_atom_site_type_symbol
_atom_site_fract_x
_atom_site_fract_y
_atom_site_fract_z
_atom_site_occupancy
Ca1 Ca 0.0000 0.0000 0.0000 1
Nb1 Nb 0.0000 0.5000 0.5000 1
P1 P 0.5000 0.5000 0.0000 1
Ru1 Ru 0.0000 0.0000 0.5000 1
```